VASP calculation (GGA-PBE) on AcHgO2 after structural relaxation.

Values from the calculation:
Electronic total energy (eV/atom): -5.546
Raw formation energy (meV per atom): -1963.9
Spin magnetization (μB/f.u.): 0.0
SG: R-3m, No. 166

Unit cell a=3.9550 b=3.9550 c=7.2442 alpha=74.16 beta=74.16 gamma=60.00
Atoms (fractional coordinates):
Hg 0.0000 0.0000 0.0000
Ac 0.5000 0.5000 0.5000
O 0.1133 0.1133 0.6602
O 0.8867 0.8867 0.3398

---

VASP calculation (GGA-PBE) on BPRuO2 after structural relaxation.

Values from the calculation:
Electronic total energy (eV/atom): -6.352
Raw formation energy (meV per atom): -95.6
Spin magnetization (μB/f.u.): 0.0
SG: P4/mmm, No. 123

Unit cell a=3.1355 b=3.1355 c=7.5602 alpha=90.00 beta=90.00 gamma=90.00
Atoms (fractional coordinates):
O 0.5000 0.0000 0.0000
O 0.0000 0.5000 0.0000
Ru 0.5000 0.5000 0.5000
P 0.0000 0.0000 0.5000
B 0.0000 0.0000 0.0000

---

VASP calculation (GGA-PBE) on Tm4Os after structural relaxation.

Values from the calculation:
Electronic total energy (eV/atom): -5.807
Spin magnetization (μB/f.u.): 0.0
SG: Pm-3m, No. 221
Energy relative to the elements (eV per formula unit): 0.08

Unit cell a=5.3420 b=5.3420 c=5.3420 alpha=90.00 beta=90.00 gamma=90.00
Atoms (fractional coordinates):
Tm 0.5000 0.0000 0.5000
Tm 0.0000 0.0000 0.0000
Tm 0.0000 0.5000 0.5000
Tm 0.5000 0.5000 0.0000
Os 0.5000 0.5000 0.5000

---

| no. | ΔE to the lowest computed polymorph (meV/atom) |
| --- | --- |
| 1 | 96 |
| 2 | 0 |
| 3 | 195 |